! TiCoO3 | Alexandria | GGA+U | relaxed; values from VASP
! - Crystal system: cubic
! - SG: Pm-3m
! - Uncorrected energy: -6.65 eV/atom
! - Total magnetic moment: 0.615 μB/f.u.
&SYSTEM
  ibrav = 0, nat = 5, ntyp = 3
/
ATOMIC_SPECIES
O 16.00 O.upf
Ti 47.87 Ti.upf
Co 58.93 Co.upf
CELL_PARAMETERS angstrom
3.5996 0.0000 0.0000
0.0000 3.5996 0.0000
0.0000 0.0000 3.5996
ATOMIC_POSITIONS angstrom
O 0.0000 1.7998 0.0000
O 0.0000 0.0000 1.7998
O 1.7998 0.0000 0.0000
Ti 1.7998 1.7998 1.7998
Co 0.0000 0.0000 0.0000